[1]
# Hf3GeB (PBE, optimized geometry)
# Formation enthalpy at 0 K = -312 meV/atom
data_Hf3GeB
_chemical_formula_sum 'Hf3 Ge1 B1'
_cell_length_a 4.519
_cell_length_b 4.519
_cell_length_c 4.519
_cell_angle_alpha 90.00
_cell_angle_beta 90.00
_cell_angle_gamma 90.00
_symmetry_space_group_name_H-M 'P m -3 m'
_symmetry_Int_Tables_number 221
_symmetry_space_group_name_Hall '-P 4 2 3'
loop_
_atom_site_label
_atom_site_type_symbol
_atom_site_fract_x
_atom_site_fract_y
_atom_site_fract_z
_atom_site_occupancy
Hf1 Hf 0.000 0.000 0.500 1
Ge1 Ge 0.500 0.500 0.500 1
B1 B 0.000 0.000 0.000 1



[2]
# Sr2DyReO6 (PBE, optimized geometry)
# Raw formation energy = -2.59 eV per atom
data_Sr2DyReO6
_chemical_formula_sum 'Sr8 Dy4 Re4 O24'
_cell_length_a 8.348
_cell_length_b 8.348
_cell_length_c 8.348
_cell_angle_alpha 90.00
_cell_angle_beta 90.00
_cell_angle_gamma 90.00
_symmetry_space_group_name_H-M 'F m -3 m'
_symmetry_Int_Tables_number 225
_symmetry_space_group_name_Hall '-F 4 2 3'
loop_
_atom_site_label
_atom_site_type_symbol
_atom_site_fract_x
_atom_site_fract_y
_atom_site_fract_z
_atom_site_occupancy
Sr1 Sr 0.250 0.250 0.250 1
Dy1 Dy 0.000 0.000 0.000 1
Re1 Re 0.000 0.000 0.500 1
O1 O 0.000 0.000 0.264 1



[3]
# U2Zn16Ge (PBE, optimized geometry)
# Formation enthalpy at 0 K = -43 meV/atom
data_U2Zn16Ge
_chemical_formula_sum 'U6 Zn48 Ge3'
_cell_length_a 9.0983
_cell_length_b 9.0983
_cell_length_c 12.9592
_cell_angle_alpha 90.00
_cell_angle_beta 90.00
_cell_angle_gamma 120.00
_symmetry_space_group_name_H-M 'R 3 m'
_symmetry_Int_Tables_number 160
_symmetry_space_group_name_Hall 'R 3 -2"'
loop_
_atom_site_label
_atom_site_type_symbol
_atom_site_fract_x
_atom_site_fract_y
_atom_site_fract_z
_atom_site_occupancy
U1 U 0.0000 0.0000 0.0000 1
U2 U 0.0000 0.0000 0.3317 1
Zn1 Zn 0.0000 0.0000 0.7605 1
Zn2 Zn 0.9997 0.3074 0.6650 1
Zn3 Zn 0.0145 0.5072 0.8195 1
Zn4 Zn 0.1719 0.3438 0.8430 1
Zn5 Zn 0.1724 0.3447 0.4989 1
Ge1 Ge 0.0000 0.0000 0.5600 1



[4]
# SiNi2Au (PBE, optimized geometry)
# Raw formation energy = -0.02 eV per atom
data_SiNi2Au
_chemical_formula_sum 'Si4 Ni8 Au4'
_cell_length_a 5.922
_cell_length_b 5.922
_cell_length_c 5.922
_cell_angle_alpha 90.00
_cell_angle_beta 90.00
_cell_angle_gamma 90.00
_symmetry_space_group_name_H-M 'F -4 3 m'
_symmetry_Int_Tables_number 216
_symmetry_space_group_name_Hall 'F -4 2 3'
loop_
_atom_site_label
_atom_site_type_symbol
_atom_site_fract_x
_atom_site_fract_y
_atom_site_fract_z
_atom_site_occupancy
Si1 Si 0.000 0.000 0.000 1
Ni1 Ni 0.000 0.000 0.500 1
Ni2 Ni 0.250 0.250 0.250 1
Au1 Au 0.250 0.250 0.750 1



[5]
# CaGa2Ru (PBE, optimized geometry)
# Formation enthalpy at 0 K = -36 meV/atom
data_CaGa2Ru
_chemical_formula_sum 'Ca4 Ga8 Ru4'
_cell_length_a 4.938
_cell_length_b 4.938
_cell_length_c 16.448
_cell_angle_alpha 90.00
_cell_angle_beta 90.00
_cell_angle_gamma 90.00
_symmetry_space_group_name_H-M 'I -4 2 d'
_symmetry_Int_Tables_number 122
_symmetry_space_group_name_Hall 'I -4 2bw'
loop_
_atom_site_label
_atom_site_type_symbol
_atom_site_fract_x
_atom_site_fract_y
_atom_site_fract_z
_atom_site_occupancy
Ca1 Ca 0.000 0.000 0.000 1
Ga1 Ga 0.049 0.250 0.625 1
Ru1 Ru 0.000 0.000 0.500 1



[6]
# LiHfMgIn (PBE, optimized geometry)
# Formation enthalpy at 0 K = 17 meV/atom
data_LiHfMgIn
_chemical_formula_sum 'Li4 Hf4 Mg4 In4'
_cell_length_a 6.930
_cell_length_b 6.930
_cell_length_c 6.930
_cell_angle_alpha 90.00
_cell_angle_beta 90.00
_cell_angle_gamma 90.00
_symmetry_space_group_name_H-M 'F -4 3 m'
_symmetry_Int_Tables_number 216
_symmetry_space_group_name_Hall 'F -4 2 3'
loop_
_atom_site_label
_atom_site_type_symbol
_atom_site_fract_x
_atom_site_fract_y
_atom_site_fract_z
_atom_site_occupancy
Li1 Li 0.000 0.000 0.000 1
Hf1 Hf 0.000 0.000 0.500 1
Mg1 Mg 0.250 0.250 0.750 1
In1 In 0.250 0.250 0.250 1



[7]
# KTiZnBr2 (PBE, optimized geometry)
# Raw formation energy = 0.42 eV per atom
data_KTiZnBr2
_chemical_formula_sum 'K1 Ti1 Zn1 Br2'
_cell_length_a 5.544
_cell_length_b 5.544
_cell_length_c 5.822
_cell_angle_alpha 90.00
_cell_angle_beta 90.00
_cell_angle_gamma 90.00
_symmetry_space_group_name_H-M 'P 4/m m m'
_symmetry_Int_Tables_number 123
_symmetry_space_group_name_Hall '-P 4 2'
loop_
_atom_site_label
_atom_site_type_symbol
_atom_site_fract_x
_atom_site_fract_y
_atom_site_fract_z
_atom_site_occupancy
K1 K 0.000 0.000 0.000 1
Ti1 Ti 0.500 0.500 0.000 1
Zn1 Zn 0.000 0.000 0.500 1
Br1 Br 0.000 0.500 0.500 1



[8]
# Zn4AgPt (PBE, optimized geometry)
# Formation enthalpy at 0 K = -219 meV/atom
data_Zn4AgPt
_chemical_formula_sum 'Zn8 Ag2 Pt2'
_cell_length_a 9.370
_cell_length_b 2.896
_cell_length_c 7.273
_cell_angle_alpha 90.00
_cell_angle_beta 112.93
_cell_angle_gamma 90.00
_symmetry_space_group_name_H-M 'C 1 2/m 1'
_symmetry_Int_Tables_number 12
_symmetry_space_group_name_Hall '-C 2y'
loop_
_atom_site_label
_atom_site_type_symbol
_atom_site_fract_x
_atom_site_fract_y
_atom_site_fract_z
_atom_site_occupancy
Zn1 Zn 0.165 0.000 0.343 1
Zn2 Zn 0.170 0.000 0.826 1
Ag1 Ag 0.000 0.500 0.000 1
Pt1 Pt 0.000 0.500 0.500 1



[9]
# Hg12Bi3Pb5 (PBE, optimized geometry)
# Formation enthalpy at 0 K = 165 meV/atom
data_Hg12Bi3Pb5
_chemical_formula_sum 'Hg96 Bi24 Pb40'
_cell_length_a 17.681
_cell_length_b 17.681
_cell_length_c 17.681
_cell_angle_alpha 90.00
_cell_angle_beta 90.00
_cell_angle_gamma 90.00
_symmetry_space_group_name_H-M 'I a -3 d'
_symmetry_Int_Tables_number 230
_symmetry_space_group_name_Hall '-I 4bd 2c 3'
loop_
_atom_site_label
_atom_site_type_symbol
_atom_site_fract_x
_atom_site_fract_y
_atom_site_fract_z
_atom_site_occupancy
Hg1 Hg 0.017 0.080 0.652 1
Bi1 Bi 0.000 0.250 0.125 1
Pb1 Pb 0.000 0.000 0.000 1
Pb2 Pb 0.000 0.250 0.375 1



[10]
# Sr3TlHg5 (PBE, optimized geometry)
# Formation enthalpy at 0 K = -437 meV/atom
data_Sr3TlHg5
_chemical_formula_sum 'Sr6 Tl2 Hg10'
_cell_length_a 9.6622
_cell_length_b 9.6622
_cell_length_c 6.7219
_cell_angle_alpha 90.00
_cell_angle_beta 90.00
_cell_angle_gamma 120.00
_symmetry_space_group_name_H-M 'P 63/m c m'
_symmetry_Int_Tables_number 193
_symmetry_space_group_name_Hall '-P 6c 2'
loop_
_atom_site_label
_atom_site_type_symbol
_atom_site_fract_x
_atom_site_fract_y
_atom_site_fract_z
_atom_site_occupancy
Sr1 Sr 0.0000 0.3563 0.2500 1
Tl1 Tl 0.0000 0.0000 0.0000 1
Hg1 Hg 0.0000 0.3078 0.7500 1
Hg2 Hg 0.3333 0.6667 0.0000 1



[11]
# Pm4In5Pd2 (PBE, optimized geometry)
# Formation enthalpy at 0 K = -598 meV/atom
data_Pm4In5Pd2
_chemical_formula_sum 'Pm4 In5 Pd2'
_cell_length_a 7.814
_cell_length_b 3.741
_cell_length_c 9.865
_cell_angle_alpha 90.00
_cell_angle_beta 94.54
_cell_angle_gamma 90.00
_symmetry_space_group_name_H-M 'P 1 2/m 1'
_symmetry_Int_Tables_number 10
_symmetry_space_group_name_Hall '-P 2y'
loop_
_atom_site_label
_atom_site_type_symbol
_atom_site_fract_x
_atom_site_fract_y
_atom_site_fract_z
_atom_site_occupancy
Pm1 Pm 0.175 0.000 0.360 1
Pm2 Pm 0.232 0.000 0.941 1
In1 In 0.180 0.500 0.654 1
In2 In 0.451 0.500 0.184 1
In3 In 0.500 0.500 0.500 1
Pd1 Pd 0.071 0.500 0.138 1



[12]
# Cs3NpAg2O6 (PBE, optimized geometry)
# Raw formation energy = -1.60 eV per atom
data_Cs3NpAg2O6
_chemical_formula_sum 'Cs6 Np2 Ag4 O12'
_cell_length_a 6.304
_cell_length_b 16.253
_cell_length_c 6.333
_cell_angle_alpha 90.00
_cell_angle_beta 97.04
_cell_angle_gamma 90.00
_symmetry_space_group_name_H-M 'C 1 2/m 1'
_symmetry_Int_Tables_number 12
_symmetry_space_group_name_Hall '-C 2y'
loop_
_atom_site_label
_atom_site_type_symbol
_atom_site_fract_x
_atom_site_fract_y
_atom_site_fract_z
_atom_site_occupancy
Cs1 Cs 0.000 0.000 0.000 1
Cs2 Cs 0.000 0.347 0.000 1
Np1 Np 0.000 0.500 0.500 1
Ag1 Ag 0.000 0.096 0.500 1
O1 O 0.122 0.500 0.235 1
O2 O 0.215 0.409 0.634 1



| no. | theoretical density (g/cm3) | magnetization (Bohr magnetons per cell) |
| --- | --- | --- |
| 1 | 11.1 | 0.00 |
| 2 | 7.1 | 7.68 |
| 3 | 8.6 | 16.25 |
| 4 | 11.0 | 0.00 |
| 5 | 4.6 | 0.00 |
| 6 | 6.5 | 0.00 |
| 7 | 2.9 | 3.49 |
| 8 | 10.3 | 0.00 |
| 9 | 9.8 | 0.00 |
| 10 | 9.0 | 0.00 |
| 11 | 7.9 | 0.00 |
| 12 | 4.9 | 0.00 |